NaVTeO5 | GGA+U | relaxed

Cell lengths 5.932, 11.755, 6.907 Å; angles 90.00, 103.16, 90.00 degrees
Sites, in units of the cell vectors:
Na: 0.167 0.219 0.180
Na: 0.167 0.281 0.680
Na: 0.833 0.719 0.320
Na: 0.833 0.781 0.820
V: 0.336 0.625 0.587
V: 0.336 0.875 0.087
V: 0.664 0.125 0.913
V: 0.664 0.375 0.413
Te: 0.242 0.559 0.095
Te: 0.242 0.941 0.595
Te: 0.758 0.059 0.405
Te: 0.758 0.441 0.905
O: 0.118 0.091 0.521
O: 0.118 0.409 0.021
O: 0.148 0.715 0.660
O: 0.148 0.785 0.160
O: 0.174 0.556 0.358
O: 0.174 0.944 0.858
O: 0.438 0.521 0.780
O: 0.438 0.979 0.280
O: 0.442 0.200 0.959
O: 0.442 0.300 0.459
O: 0.558 0.700 0.541
O: 0.558 0.800 0.041
O: 0.562 0.021 0.720
O: 0.562 0.479 0.220
O: 0.826 0.056 0.142
O: 0.826 0.444 0.642
O: 0.852 0.215 0.840
O: 0.852 0.285 0.340
O: 0.882 0.591 0.979
O: 0.882 0.909 0.479

Summary:
- offset from the most stable computed form (eV per formula unit) = 0.000
- density of states at the Fermi level (states/eV/cell) = 0.00
- calculated total energy (eV/atom) = -6.1997